[1]
Computed, not measured: RbCoSn2Hg after structural relaxation at the PBE level of DFT.

abc: 5.0072 5.0072 5.3479
angles: 90.00 90.00 90.00
Each line ends with the local moment (μB).
Positions (direct):
Co 0.0000 0.0000 0.0000  0.05
Hg 0.0000 0.0000 0.5000  0.00
Rb 0.5000 0.5000 0.5000  0.00
Sn 0.0000 0.5000 0.0000  0.00
Sn 0.5000 0.0000 0.0000  0.00

Formation energy in kJ/mol of formula units: 7

***

[2]
Computed, not measured: Na4ScU3S8 after structural relaxation at the PBE level of DFT.

abc: 8.9478 9.1185 8.9481
angles: 119.41 120.00 90.00
Each line ends with the local moment (μB).
Positions (direct):
Na 0.5000 0.0000 0.0000  0.00
Na 0.5000 0.0000 0.5000  0.00
Na 0.0000 0.0000 0.0000  0.00
Na 0.0000 0.0000 0.5000  0.00
Sc 0.0000 0.5000 0.0000  0.96
U 0.5000 0.5000 0.0000  1.71
U 0.5000 0.5000 0.5000  1.71
U 0.0000 0.5000 0.5000  1.71
S 0.6216 0.8265 0.7053  -0.08
S 0.6216 0.8266 0.2432  -0.08
S 0.3463 0.5392 0.6926  -0.06
S 0.0837 0.8265 0.7053  -0.08
S 0.9163 0.1735 0.2947  -0.08
S 0.6537 0.4608 0.3074  -0.06
S 0.3784 0.1734 0.7568  -0.08
S 0.3784 0.1735 0.2947  -0.08

Formation energy from raw total energies in eV per atom: -0.60

***

[3]
Computed, not measured: KCdInBi after structural relaxation at the PBE level of DFT.

abc: 4.7915 4.7915 7.8069
angles: 72.13 72.13 60.00
Positions (direct):
K 0.8130 0.8130 0.5609
Cd 0.2471 0.2471 0.2588
In 0.6344 0.6344 0.0967
Bi 0.0313 0.0313 0.9060

Formation energy in kJ/mol of formula units: -33
Excess energy over the best structure of this formula in the dataset in eV per atom: 0.000

***

[4]
Computed, not measured: TiCu3Si after structural relaxation at the PBE level of DFT.

abc: 4.3239 4.3239 4.3239
angles: 90.00 90.00 90.00
Each line ends with the local moment (μB).
Positions (direct):
Si 0.0000 0.0000 0.0000  -0.03
Cu 0.0000 0.5000 0.0000  0.00
Cu 0.0000 0.0000 0.5000  0.02
Cu 0.5000 0.0000 0.0000  0.01
Ti 0.5000 0.5000 0.5000  1.34

Formation energy from raw total energies in eV per atom: 0.43
Excess energy over the best structure of this formula in the dataset in eV per atom: 0.000

***

[5]
Computed, not measured: TmSc2US4 after structural relaxation at the PBE level of DFT.

abc: 3.7448 6.5661 6.5551
angles: 109.03 90.00 90.00
Each line ends with the local moment (μB).
Positions (direct):
Tm 0.5000 0.5000 0.0000  0.07
Sc 0.5000 0.0000 0.5000  0.08
Sc 0.0000 0.5000 0.5000  -0.05
U 0.0000 0.0000 0.0000  2.27
S 0.5000 0.2582 0.2653  -0.03
S 0.5000 0.7418 0.7347  -0.03
S 0.0000 0.2485 0.7376  -0.01
S 0.0000 0.7515 0.2624  -0.01

Formation energy from raw total energies in eV per atom: -1.74

***

[6]
Computed, not measured: TlHg2Mo after structural relaxation at the PBE level of DFT.

abc: 6.7135 5.4366 3.1024
angles: 90.18 62.15 118.96
Positions (direct):
Hg 0.0000 0.0000 0.0000
Hg 0.5000 0.0000 0.5000
Mo 0.0000 0.5000 0.5000
Tl 0.5000 0.5000 0.0000

Formation energy in kJ/mol of formula units: 225
Excess energy over the best structure of this formula in the dataset in eV per atom: 0.072

***

[7]
Computed, not measured: Nd4SmRh after structural relaxation at the PBE level of DFT.

abc: 6.0698 7.6330 9.6073
angles: 113.41 108.46 90.00
Positions (direct):
Nd 0.1720 0.6719 0.3438
Nd 0.3831 0.1311 0.7662
Nd 0.0000 0.2054 0.0000
Nd 0.6169 0.3649 0.2338
Nd 0.8280 0.3281 0.6562
Nd 0.6169 0.8689 0.2338
Nd 0.0000 0.7946 0.0000
Nd 0.3831 0.6351 0.7662
Sm 0.8019 0.8018 0.6036
Sm 0.1981 0.1982 0.3964
Rh 0.2699 0.5000 0.0001
Rh 0.7301 0.5000 0.9999

Formation energy in kJ/mol of formula units: -108

***

[8]
Computed, not measured: TaIr2W after structural relaxation at the PBE level of DFT.

abc: 4.9154 4.9154 4.9145
angles: 132.73 132.73 69.10
Positions (direct):
Ir 0.0000 0.0000 0.0000
Ir 0.7500 0.2500 0.5000
Ta 0.5000 0.5000 0.0000
W 0.2500 0.7500 0.5000

Formation energy in kJ/mol of formula units: -120
Excess energy over the best structure of this formula in the dataset in eV per atom: 0.146

***

[9]
Computed, not measured: NdHRh3 after structural relaxation at the PBE level of DFT.

abc: 4.1513 4.1513 4.1513
angles: 90.00 90.00 90.00
Positions (direct):
Rh 0.0000 0.5000 0.0000
Rh 0.0000 0.0000 0.5000
Rh 0.5000 0.0000 0.0000
Nd 0.5000 0.5000 0.5000
H 0.0000 0.0000 0.0000

Electronic total energy in eV/cell: -32.055

***

[10]
Computed, not measured: Ac2DyGa4Pt3 after structural relaxation at the PBE level of DFT.

abc: 4.3704 4.3704 11.7322
angles: 90.00 90.00 90.00
Positions (direct):
Ac 0.5000 0.0000 0.2283
Ac 0.0000 0.5000 0.7717
Dy 0.5000 0.5000 0.5000
Ga 0.5000 0.5000 0.0000
Ga 0.0000 0.0000 0.0000
Ga 0.5000 0.0000 0.6614
Ga 0.0000 0.5000 0.3386
Pt 0.0000 0.0000 0.5000
Pt 0.5000 0.0000 0.8786
Pt 0.0000 0.5000 0.1214

Formation energy in kJ/mol of formula units: -842

***

[11]
Computed, not measured: HfAlCu2Mo after structural relaxation at the PBE level of DFT.

abc: 4.2599 4.9929 4.2599
angles: 90.00 90.00 90.00
Positions (direct):
Mo 0.5000 0.5000 0.5000
Hf 0.0000 0.5000 0.0000
Al 0.0000 0.0000 0.0000
Cu 0.0000 0.0000 0.5000
Cu 0.5000 0.0000 0.0000

Formation energy in kJ/mol of formula units: 488

***

[12]
Computed, not measured: NaSr7Ca4 after structural relaxation at the PBE level of DFT.

abc: 4.1257 4.1257 40.0905
angles: 90.00 90.00 120.00
Positions (direct):
Na 0.0000 0.0000 0.5000
Sr 0.0000 0.0000 0.0000
Sr 0.3333 0.6667 0.4185
Sr 0.6667 0.3333 0.5815
Sr 0.3333 0.6667 0.1655
Sr 0.6667 0.3333 0.8345
Sr 0.0000 0.0000 0.7464
Sr 0.0000 0.0000 0.2536
Ca 0.3333 0.6667 0.9172
Ca 0.6667 0.3333 0.0828
Ca 0.3333 0.6667 0.6636
Ca 0.6667 0.3333 0.3364

Formation energy in kJ/mol of formula units: 35
Excess energy over the best structure of this formula in the dataset in eV per atom: 0.000